[1]
Crystalline TaW2 at its relaxed geometry, computed with GGA-PBEsol. Values from VASP.

M_tot	0.00	μB/f.u.
density of states at the Fermi level	4.9	states/eV per cell
calculated formation energy	-0.11	eV per atom

```
&SYSTEM
  ibrav = 0, nat = 12, ntyp = 2
/
ATOMIC_SPECIES
Ta 180.95 Ta.upf
W 183.84 W.upf
CELL_PARAMETERS angstrom
3.1899 0.0000 0.0000
0.0000 13.5493 0.0000
0.0000 0.0000 4.4968
ATOMIC_POSITIONS crystal
Ta 0.0000 0.0830 0.2500
Ta 0.0000 0.9170 0.7500
Ta 0.5000 0.4170 0.7500
Ta 0.5000 0.5830 0.2500
W 0.0000 0.2475 0.7500
W 0.0000 0.4138 0.2500
W 0.0000 0.5862 0.7500
W 0.0000 0.7525 0.2500
W 0.5000 0.0862 0.7500
W 0.5000 0.2525 0.2500
W 0.5000 0.7475 0.7500
W 0.5000 0.9138 0.2500
```

[2]
Crystalline YTa2W at its relaxed geometry, computed with GGA-PBEsol. Values from VASP.

M_tot	0.00	μB/f.u.
density of states at the Fermi level	9.8	states/eV per cell
calculated formation energy	0.28	eV per atom
energy above the most stable polymorph in this dataset	0	meV/atom

```
&SYSTEM
  ibrav = 0, nat = 8, ntyp = 3
/
ATOMIC_SPECIES
Y 88.91 Y.upf
Ta 180.95 Ta.upf
W 183.84 W.upf
CELL_PARAMETERS angstrom
3.2351 0.0000 0.0000
0.0000 4.8484 0.0000
0.0000 0.0000 9.7635
ATOMIC_POSITIONS crystal
Y 0.0000 0.0000 0.0000
Y 0.5000 0.5000 0.0000
Ta 0.0000 0.5000 0.2819
Ta 0.0000 0.5000 0.7181
Ta 0.5000 0.0000 0.2819
Ta 0.5000 0.0000 0.7181
W 0.0000 0.0000 0.5000
W 0.5000 0.5000 0.5000
```

[3]
Crystalline YTa2W at its relaxed geometry, computed with GGA-PBEsol. Values from VASP.

M_tot	0.00	μB/f.u.
density of states at the Fermi level	10.8	states/eV per cell
calculated formation energy	0.37	eV per atom
energy above the most stable polymorph in this dataset	87	meV/atom

```
&SYSTEM
  ibrav = 0, nat = 8, ntyp = 3
/
ATOMIC_SPECIES
Y 88.91 Y.upf
Ta 180.95 Ta.upf
W 183.84 W.upf
CELL_PARAMETERS angstrom
3.2556 0.0000 0.0000
0.0000 4.9505 0.0000
0.0000 0.0000 9.6075
ATOMIC_POSITIONS crystal
Y 0.0000 0.0000 0.0000
Y 0.5000 0.5000 0.5000
Ta 0.0000 0.5000 0.2247
Ta 0.0000 0.5000 0.7753
Ta 0.5000 0.0000 0.2753
Ta 0.5000 0.0000 0.7247
W 0.0000 0.0000 0.5000
W 0.5000 0.5000 0.0000
```

[4]
Crystalline YTaW at its relaxed geometry, computed with GGA-PBEsol. Values from VASP.

M_tot	0.00	μB/f.u.
density of states at the Fermi level	5.3	states/eV per cell
calculated formation energy	0.29	eV per atom
energy above the most stable polymorph in this dataset	0	meV/atom

```
&SYSTEM
  ibrav = 0, nat = 6, ntyp = 3
/
ATOMIC_SPECIES
Y 88.91 Y.upf
Ta 180.95 Ta.upf
W 183.84 W.upf
CELL_PARAMETERS angstrom
3.3672 0.0000 0.0000
0.0000 3.3672 0.0000
0.0000 0.0000 10.7868
ATOMIC_POSITIONS crystal
Y 0.0000 0.0000 0.0000
Y 0.5000 0.5000 0.5000
Ta 0.0000 0.0000 0.7008
Ta 0.5000 0.5000 0.2008
W 0.0000 0.0000 0.3134
W 0.5000 0.5000 0.8134
```

[5]
Crystalline Y3TaW at its relaxed geometry, computed with GGA-PBEsol. Values from VASP.

M_tot	2.70	μB/f.u.
density of states at the Fermi level	5.4	states/eV per cell
calculated formation energy	1.33	eV per atom

```
&SYSTEM
  ibrav = 0, nat = 5, ntyp = 3
/
ATOMIC_SPECIES
Y 88.91 Y.upf
Ta 180.95 Ta.upf
W 183.84 W.upf
CELL_PARAMETERS angstrom
5.2222 0.0000 0.0000
0.0000 5.2222 0.0000
0.0000 0.0000 5.2222
ATOMIC_POSITIONS crystal
Y 0.0000 0.0000 0.5000
Y 0.0000 0.5000 0.0000
Y 0.5000 0.0000 0.0000
Ta 0.5000 0.5000 0.5000
W 0.0000 0.0000 0.0000
```

[6]
Crystalline YTaW at its relaxed geometry, computed with GGA-PBEsol. Values from VASP.

M_tot	0.00	μB/f.u.
density of states at the Fermi level	15.0	states/eV per cell
calculated formation energy	2.02	eV per atom
energy above the most stable polymorph in this dataset	1722	meV/atom

```
&SYSTEM
  ibrav = 0, nat = 12, ntyp = 3
/
ATOMIC_SPECIES
Y 88.91 Y.upf
Ta 180.95 Ta.upf
W 183.84 W.upf
CELL_PARAMETERS angstrom
6.4128 0.0000 0.0000
0.0000 6.4128 0.0000
0.0000 0.0000 6.4128
ATOMIC_POSITIONS crystal
Y 0.0000 0.0000 0.0000
Y 0.0000 0.5000 0.5000
Y 0.5000 0.0000 0.5000
Y 0.5000 0.5000 0.0000
Ta 0.2500 0.2500 0.2500
Ta 0.2500 0.7500 0.7500
Ta 0.7500 0.2500 0.7500
Ta 0.7500 0.7500 0.2500
W 0.2500 0.2500 0.7500
W 0.2500 0.7500 0.2500
W 0.7500 0.2500 0.2500
W 0.7500 0.7500 0.7500
```

[7]
Crystalline YTaW at its relaxed geometry, computed with GGA-PBEsol. Values from VASP.

M_tot	0.00	μB/f.u.
density of states at the Fermi level	4.2	states/eV per cell
calculated formation energy	0.69	eV per atom
energy above the most stable polymorph in this dataset	392	meV/atom

```
&SYSTEM
  ibrav = 0, nat = 3, ntyp = 3
/
ATOMIC_SPECIES
Y 88.91 Y.upf
Ta 180.95 Ta.upf
W 183.84 W.upf
CELL_PARAMETERS angstrom
2.9190 0.0000 0.0000
-1.4595 2.5279 0.0000
0.0000 0.0000 7.8511
ATOMIC_POSITIONS crystal
Y 0.0000 0.0000 0.0000
Ta 0.3333 0.6667 0.6466
W 0.6667 0.3333 0.3399
```

[8]
Crystalline TaZn3W at its relaxed geometry, computed with GGA-PBEsol. Values from VASP.

M_tot	2.70	μB/f.u.
density of states at the Fermi level	6.1	states/eV per cell
calculated formation energy	2.14	eV per atom

```
&SYSTEM
  ibrav = 0, nat = 5, ntyp = 3
/
ATOMIC_SPECIES
Ta 180.95 Ta.upf
Zn 65.41 Zn.upf
W 183.84 W.upf
CELL_PARAMETERS angstrom
4.7277 0.0000 0.0000
0.0000 4.7277 0.0000
0.0000 0.0000 4.7277
ATOMIC_POSITIONS crystal
Ta 0.0000 0.0000 0.0000
Zn 0.0000 0.0000 0.5000
Zn 0.0000 0.5000 0.0000
Zn 0.5000 0.0000 0.0000
W 0.5000 0.5000 0.5000
```

[9]
Crystalline TaZn4W at its relaxed geometry, computed with GGA-PBEsol. Values from VASP.

M_tot	0.00	μB/f.u.
density of states at the Fermi level	2.4	states/eV per cell
calculated formation energy	-0.04	eV per atom

```
&SYSTEM
  ibrav = 0, nat = 6, ntyp = 3
/
ATOMIC_SPECIES
Ta 180.95 Ta.upf
Zn 65.41 Zn.upf
W 183.84 W.upf
CELL_PARAMETERS angstrom
0.0000 3.4642 3.4642
3.4642 0.0000 3.4642
3.4642 3.4642 0.0000
ATOMIC_POSITIONS crystal
Ta 0.0000 0.0000 0.0000
Zn 0.1260 0.6247 0.6247
Zn 0.6247 0.1260 0.6247
Zn 0.6247 0.6247 0.1260
Zn 0.6247 0.6247 0.6247
W 0.2500 0.2500 0.2500
```

[10]
Crystalline ZrTa2W at its relaxed geometry, computed with GGA-PBEsol. Values from VASP.

M_tot	0.00	μB/f.u.
density of states at the Fermi level	22.0	states/eV per cell
calculated formation energy	0.10	eV per atom

```
&SYSTEM
  ibrav = 0, nat = 16, ntyp = 3
/
ATOMIC_SPECIES
Zr 91.22 Zr.upf
Ta 180.95 Ta.upf
W 183.84 W.upf
CELL_PARAMETERS angstrom
6.5825 0.0000 0.0000
0.0000 6.5825 0.0000
0.0000 0.0000 6.5825
ATOMIC_POSITIONS crystal
Zr 0.0000 0.0000 0.0000
Zr 0.0000 0.5000 0.5000
Zr 0.5000 0.0000 0.5000
Zr 0.5000 0.5000 0.0000
Ta 0.0000 0.0000 0.5000
Ta 0.0000 0.5000 0.0000
Ta 0.2500 0.2500 0.2500
Ta 0.2500 0.7500 0.7500
Ta 0.5000 0.0000 0.0000
Ta 0.5000 0.5000 0.5000
Ta 0.7500 0.2500 0.7500
Ta 0.7500 0.7500 0.2500
W 0.2500 0.2500 0.7500
W 0.2500 0.7500 0.2500
W 0.7500 0.2500 0.2500
W 0.7500 0.7500 0.7500
```

[11]
Crystalline Y2Ta3 at its relaxed geometry, computed with GGA-PBEsol. Values from VASP.

M_tot	0.00	μB/f.u.
density of states at the Fermi level	8.7	states/eV per cell
calculated formation energy	1.38	eV per atom
energy above the most stable polymorph in this dataset	873	meV/atom

```
&SYSTEM
  ibrav = 0, nat = 5, ntyp = 2
/
ATOMIC_SPECIES
Y 88.91 Y.upf
Ta 180.95 Ta.upf
CELL_PARAMETERS angstrom
4.7011 0.0000 0.0000
-2.3505 4.0713 0.0000
0.0000 0.0000 6.1010
ATOMIC_POSITIONS crystal
Y 0.3333 0.6667 0.3560
Y 0.6667 0.3333 0.6440
Ta 0.0000 0.0000 0.5000
Ta 0.3333 0.6667 0.8831
Ta 0.6667 0.3333 0.1169
```

[12]
Crystalline YTa at its relaxed geometry, computed with GGA-PBEsol. Values from VASP.

M_tot	0.00	μB/f.u.
density of states at the Fermi level	7.2	states/eV per cell
calculated formation energy	0.43	eV per atom
energy above the most stable polymorph in this dataset	0	meV/atom

```
&SYSTEM
  ibrav = 0, nat = 4, ntyp = 2
/
ATOMIC_SPECIES
Y 88.91 Y.upf
Ta 180.95 Ta.upf
CELL_PARAMETERS angstrom
3.3103 0.0000 0.0000
-1.6552 2.8668 0.0000
0.0000 0.0000 9.8688
ATOMIC_POSITIONS crystal
Y 0.3333 0.6667 0.3458
Y 0.6667 0.3333 0.6542
Ta 0.3333 0.6667 0.9023
Ta 0.6667 0.3333 0.0977
```